--- 1 ---
VASP calculation (PBE) on Pb3C after structural relaxation.

Summary:
DOS at the Fermi energy   2.1 states/eV/f.u.

```
Pb3C
1.0
5.825 0.118 0.000
2.097 5.436 0.000
-3.961 -2.777 3.247
Pb C
3 1
Direct
0.750 0.250 0.500 Pb
0.250 0.750 0.500 Pb
0.500 0.500 0.000 Pb
0.000 0.000 0.000 C
```



--- 2 ---
VASP calculation (PBE) on Pb3C after structural relaxation.

Summary:
DOS at the Fermi energy   1.4 states/eV/f.u.

```
Pb3C
1.0
4.428 -7.669 0.000
4.428 7.669 0.000
0.000 0.000 3.376
Pb C
6 2
Direct
0.209 0.417 0.750 Pb
0.417 0.209 0.250 Pb
0.209 0.791 0.750 Pb
0.583 0.791 0.750 Pb
0.791 0.583 0.250 Pb
0.791 0.209 0.250 Pb
0.333 0.667 0.250 C
0.667 0.333 0.750 C
```



--- 3 ---
VASP calculation (PBE) on Pb3C after structural relaxation.

Summary:
DOS at the Fermi energy   2.1 states/eV/f.u.

```
Pb3C
1.0
-0.747 -3.351 0.351
5.232 -1.385 -2.088
3.879 0.144 9.624
C Pb
2 6
Direct
0.500 0.387 0.500 C
0.000 0.613 0.000 C
0.000 0.256 0.666 Pb
0.000 0.256 0.334 Pb
0.500 0.744 0.166 Pb
0.000 0.728 0.500 Pb
0.500 0.272 0.000 Pb
0.500 0.744 0.834 Pb
```



--- 4 ---
VASP calculation (PBE) on Pb3C after structural relaxation.

Summary:
DOS at the Fermi energy   1.4 states/eV/f.u.

```
Pb3C
1.0
-7.387 -0.252 -4.528
-0.006 -6.383 5.864
-1.284 1.832 1.993
C Pb
2 6
Direct
0.480 0.520 0.750 C
0.520 0.480 0.250 C
0.176 0.476 0.750 Pb
0.875 0.125 0.250 Pb
0.524 0.824 0.750 Pb
0.824 0.524 0.250 Pb
0.125 0.875 0.750 Pb
0.476 0.176 0.250 Pb
```



4 (218 meV/atom below the next structure)